1.
{
  "formula": "KZrU2O8",
  "functional": "PBE",
  "state": "relaxed",
  "dos_ef_per_ev_cell": 6.49,
  "formation_energy_uncorrected_kcal_per_mol_atoms": -68.6,
  "vol_a3_per_atom": 15.25,
  "cell": [[5.082, 0.000, 0.000], [0.000, 7.083, 0.000], [-0.200, 0.000, 5.083]],
  "species": ["K", "Zr", "U", "U", "O", "O", "O", "O", "O", "O", "O", "O"],
  "frac_coords": [[0.000, 0.000, 0.000], [0.000, 0.500, 0.000], [0.500, 0.251, 0.500], [0.500, 0.749, 0.500], [0.215, 0.289, 0.213], [0.215, 0.711, 0.213], [0.302, 0.500, 0.697], [0.334, 0.000, 0.663], [0.666, 0.000, 0.337], [0.698, 0.500, 0.303], [0.785, 0.289, 0.787], [0.785, 0.711, 0.787]]
}

***

2.
{
  "formula": "K2ZrU3O12",
  "functional": "PBE",
  "state": "relaxed",
  "dos_ef_per_ev_cell": 0.00,
  "formation_energy_uncorrected_kcal_per_mol_atoms": -68.3,
  "vol_a3_per_atom": 19.18,
  "cell": [[3.992, 2.305, 6.254], [-3.992, 2.305, 6.254], [0.000, -4.609, 6.254]],
  "species": ["K", "K", "Zr", "U", "U", "U", "O", "O", "O", "O", "O", "O", "O", "O", "O", "O", "O", "O"],
  "frac_coords": [[0.165, 0.165, 0.165], [0.835, 0.835, 0.835], [0.500, 0.500, 0.500], [0.000, 0.500, 0.500], [0.500, 0.000, 0.500], [0.500, 0.500, 0.000], [0.183, 0.564, 0.564], [0.185, 0.185, 0.555], [0.185, 0.555, 0.185], [0.436, 0.436, 0.817], [0.436, 0.817, 0.436], [0.445, 0.815, 0.815], [0.555, 0.185, 0.185], [0.564, 0.183, 0.564], [0.564, 0.564, 0.183], [0.815, 0.445, 0.815], [0.815, 0.815, 0.445], [0.817, 0.436, 0.436]]
}

***

3.
{
  "formula": "K3ZrU2O9",
  "functional": "PBE",
  "state": "relaxed",
  "dos_ef_per_ev_cell": 6.81,
  "formation_energy_uncorrected_kcal_per_mol_atoms": -66.6,
  "vol_a3_per_atom": 15.51,
  "cell": [[6.029, 0.000, 0.000], [-3.014, 5.221, 0.000], [0.000, 0.000, 7.390]],
  "species": ["K", "K", "K", "Zr", "U", "U", "O", "O", "O", "O", "O", "O", "O", "O", "O"],
  "frac_coords": [[0.000, 0.000, 0.000], [0.333, 0.667, 0.663], [0.667, 0.333, 0.337], [0.000, 0.000, 0.500], [0.333, 0.667, 0.173], [0.667, 0.333, 0.827], [0.000, 0.500, 0.000], [0.167, 0.334, 0.333], [0.167, 0.833, 0.333], [0.334, 0.167, 0.667], [0.500, 0.000, 0.000], [0.500, 0.500, 0.000], [0.666, 0.833, 0.333], [0.833, 0.167, 0.667], [0.833, 0.666, 0.667]]
}